# 1
# Ba2ScBeNi GGA-PBE optimized geometry
data_Ba2ScBeNi
_cell_length_a 6.193
_cell_length_b 6.193
_cell_length_c 4.097
_cell_angle_alpha 90.00
_cell_angle_beta 90.00
_cell_angle_gamma 90.00
_space_group_name_H-M_alt 'P 4/m m m'
_space_group_IT_number 123
_space_group_name_Hall '-P 4 2'
loop_
_atom_site_label
_atom_site_fract_x
_atom_site_fract_y
_atom_site_fract_z
Ba1 0.000 0.500 0.000
Sc1 0.000 0.000 0.500
Be1 0.500 0.500 0.000
Ni1 0.500 0.500 0.500
# V = 157.2 Å³/f.u.
# E_form = 2.7 eV per formula unit
# Total magnetization = 0.00 μB/f.u.



# 2
# BaBeSi2Ni GGA-PBE optimized geometry
data_BaBeSi2Ni
_cell_length_a 4.608
_cell_length_b 4.608
_cell_length_c 4.482
_cell_angle_alpha 90.00
_cell_angle_beta 90.00
_cell_angle_gamma 90.00
_space_group_name_H-M_alt 'P 4/m m m'
_space_group_IT_number 123
_space_group_name_Hall '-P 4 2'
loop_
_atom_site_label
_atom_site_fract_x
_atom_site_fract_y
_atom_site_fract_z
Ba1 0.000 0.000 0.000
Be1 0.500 0.500 0.000
Si1 0.000 0.500 0.500
Ni1 0.500 0.500 0.500
# V = 95.2 Å³/f.u.
# Formation energy without anion corrections = 53 kJ/mol of formula units
# Total magnetization = 0.00 μB/f.u.



# 3
# BaBeNiSn2 GGA-PBE optimized geometry
data_BaBeNiSn2
_cell_length_a 4.784
_cell_length_b 4.784
_cell_length_c 5.831
_cell_angle_alpha 90.00
_cell_angle_beta 90.00
_cell_angle_gamma 90.00
_space_group_name_H-M_alt 'P 4/m m m'
_space_group_IT_number 123
_space_group_name_Hall '-P 4 2'
loop_
_atom_site_label
_atom_site_fract_x
_atom_site_fract_y
_atom_site_fract_z
Ba1 0.000 0.000 0.000
Be1 0.000 0.000 0.500
Ni1 0.500 0.500 0.000
Sn1 0.000 0.500 0.500
# V = 133.5 Å³/f.u.
# E_form = 2.3 eV per formula unit
# Total magnetization = 0.00 μB/f.u.



# 4
# BaSr2BeNi GGA-PBE optimized geometry
data_BaSr2BeNi
_cell_length_a 5.696
_cell_length_b 5.696
_cell_length_c 5.893
_cell_angle_alpha 90.00
_cell_angle_beta 90.00
_cell_angle_gamma 90.00
_space_group_name_H-M_alt 'P 4/m m m'
_space_group_IT_number 123
_space_group_name_Hall '-P 4 2'
loop_
_atom_site_label
_atom_site_fract_x
_atom_site_fract_y
_atom_site_fract_z
Ba1 0.000 0.000 0.000
Sr1 0.000 0.500 0.500
Be1 0.500 0.500 0.000
Ni1 0.000 0.000 0.500
# V = 191.2 Å³/f.u.
# E_form = 2.2 eV per formula unit
# Total magnetization = 0.00 μB/f.u.